[1]
A plane-wave DFT calculation with GGA-PBE was carried out for crystalline Ba5Pa3O12 at its relaxed geometry.

abc: 3.692 10.866 10.866
angles: 120.00 90.00 90.00
Site moments in Bohr magnetons follow the coordinates.
Sites, in units of the cell vectors:
1 O 0.500 0.442 0.216  -0.01
2 O 0.500 0.784 0.226  -0.01
3 O 0.000 0.217 0.217  -0.01
4 O 0.000 0.469 0.469  -0.01
5 O 0.000 0.531 0.000  -0.01
6 O 0.000 0.783 0.000  -0.01
7 O 0.500 0.558 0.774  -0.01
8 O 0.000 0.000 0.531  -0.01
9 O 0.500 0.774 0.558  -0.01
10 O 0.000 0.000 0.783  -0.01
11 O 0.500 0.226 0.784  -0.01
12 O 0.500 0.216 0.442  -0.01
13 Pa 0.500 0.344 0.344  0.30
14 Pa 0.500 0.656 0.000  0.30
15 Pa 0.500 0.000 0.656  0.30
16 Ba 0.000 0.282 0.000  0.01
17 Ba 0.000 0.000 0.282  0.01
18 Ba 0.000 0.667 0.333  0.01
19 Ba 0.000 0.718 0.718  0.01
20 Ba 0.000 0.333 0.667  0.01

The formation energy from raw total energies is -3.222 eV per atom. The value obtained for the density of states at the Fermi level is 6.81 states/eV/cell. Its size of the total moment is 1.0 μB per formula unit.



[2]
A plane-wave DFT calculation with GGA-PBE was carried out for crystalline Ba6PaO8 at its relaxed geometry.

abc: 7.238 7.238 7.238
angles: 67.05 67.05 67.05
Site moments in Bohr magnetons follow the coordinates.
Sites, in units of the cell vectors:
1 O 0.847 0.299 0.085  0.00
2 O 0.153 0.701 0.915  0.00
3 O 0.685 0.685 0.685  0.01
4 O 0.915 0.153 0.701  0.00
5 O 0.085 0.847 0.299  0.00
6 O 0.701 0.915 0.153  0.00
7 O 0.299 0.085 0.847  0.00
8 O 0.315 0.315 0.315  0.01
9 Ba 0.500 0.307 0.930  0.05
10 Ba 0.693 0.070 0.500  0.05
11 Ba 0.307 0.930 0.500  0.05
12 Ba 0.070 0.500 0.693  0.05
13 Ba 0.930 0.500 0.307  0.05
14 Ba 0.500 0.693 0.070  0.05
15 Pa 0.000 0.000 0.000  0.05

The formation energy from raw total energies is -2.647 eV per atom. The value obtained for the density of states at the Fermi level is 1.35 states/eV/cell. Its size of the total moment is 1.1 μB per formula unit.



[3]
A plane-wave DFT calculation with GGA-PBE was carried out for crystalline Ba3Pa2O8 at its relaxed geometry.

abc: 6.686 6.686 8.091
angles: 65.60 65.60 60.00
Sites, in units of the cell vectors:
1 Pa 0.596 0.596 0.212
2 Pa 0.404 0.404 0.788
3 O 0.738 0.738 0.298
4 O 0.262 0.262 0.702
5 O 0.309 0.309 0.073
6 O 0.775 0.262 0.702
7 O 0.738 0.225 0.298
8 O 0.225 0.738 0.298
9 O 0.262 0.775 0.702
10 O 0.691 0.691 0.927
11 Ba 0.000 0.000 0.000
12 Ba 0.188 0.188 0.435
13 Ba 0.812 0.812 0.565

The formation energy from raw total energies is -2.986 eV per atom. The value obtained for the density of states at the Fermi level is 0.00 states/eV/cell. Its size of the total moment is 0.0 μB per formula unit.



[4]
A plane-wave DFT calculation with GGA-PBE was carried out for crystalline Ba2PaO4 at its relaxed geometry.

abc: 4.477 4.477 7.609
angles: 107.11 107.11 90.00
Site moments in Bohr magnetons follow the coordinates.
Sites, in units of the cell vectors:
1 O 0.000 0.500 0.000  -0.02
2 O 0.839 0.839 0.679  -0.01
3 O 0.500 0.000 0.000  -0.02
4 O 0.161 0.161 0.321  -0.01
5 Pa 0.000 0.000 0.000  0.63
6 Ba 0.347 0.347 0.694  0.04
7 Ba 0.653 0.653 0.306  0.04

The formation energy from raw total energies is -2.981 eV per atom. The value obtained for the density of states at the Fermi level is 4.89 states/eV/cell. Its size of the total moment is 0.8 μB per formula unit. The excess energy over the best structure of this formula in the dataset is 76 meV per atom.